No. 1
CaSmIr | GGA-PBE | relaxed

M_tot in μB/cell: 0.000
E above lowest polymorph in meV/atom: 0
Energy relative to the elements in eV/atom: -0.48

```
data_CaSmIr
_space_group_name_H-M_alt 'P -6 2 m'
_space_group_IT_number 189
_space_group_name_Hall 'P -6 -2'
_cell_length_a 7.6657
_cell_length_b 7.6657
_cell_length_c 4.5196
_cell_angle_alpha 90.00
_cell_angle_beta 90.00
_cell_angle_gamma 120.00
loop_
_atom_site_label
_atom_site_type_symbol
_atom_site_fract_x
_atom_site_fract_y
_atom_site_fract_z
Ca1 Ca 0.0000 0.4106 0.0000
Sm1 Sm 0.0000 0.7370 0.5000
Ir1 Ir 0.0000 0.0000 0.0000
Ir2 Ir 0.3333 0.6667 0.5000
```

***

No. 2
CaSmIr2 | GGA-PBE | relaxed

M_tot in μB/cell: 0.000
E above lowest polymorph in meV/atom: 0
Energy relative to the elements in eV/atom: -0.40

```
data_CaSmIr2
_space_group_name_H-M_alt 'F m -3 m'
_space_group_IT_number 225
_space_group_name_Hall '-F 4 2 3'
_cell_length_a 6.9118
_cell_length_b 6.9118
_cell_length_c 6.9118
_cell_angle_alpha 90.00
_cell_angle_beta 90.00
_cell_angle_gamma 90.00
loop_
_atom_site_label
_atom_site_type_symbol
_atom_site_fract_x
_atom_site_fract_y
_atom_site_fract_z
Ca1 Ca 0.0000 0.0000 0.0000
Sm1 Sm 0.0000 0.0000 0.5000
Ir1 Ir 0.2500 0.2500 0.2500
```

***

No. 3
CaSmIr | GGA-PBE | relaxed

M_tot in μB/cell: 0.000
E above lowest polymorph in meV/atom: 132
Energy relative to the elements in eV/atom: -0.35

```
data_CaSmIr
_space_group_name_H-M_alt 'P 3 m 1'
_space_group_IT_number 156
_cell_length_a 4.1206
_cell_length_b 4.1206
_cell_length_c 6.4420
_cell_angle_alpha 90.00
_cell_angle_beta 90.00
_cell_angle_gamma 120.00
loop_
_space_group_symop_operation_xyz
'x,y,z'
'-y,x-y,z'
'-x+y,-x,z'
'-y,-x,z'
'-x+y,y,z'
'x,x-y,z'
loop_
_atom_site_label
_atom_site_type_symbol
_atom_site_fract_x
_atom_site_fract_y
_atom_site_fract_z
Ca1 Ca 0.0000 0.0000 0.0000
Sm1 Sm 0.6667 0.3333 0.4686
Ir1 Ir 0.3333 0.6667 0.2496
```

***

Which value of M_tot does entry 2 give? 0.000 μB/cell

***

Look up the energy relative to the elements of the second one. -0.40 eV/atom